Entry from OQMD via LeMat-Bulk: an optimized crystal structure of PdC2ClO2 (PBE).

Calculated values
Space-group type: I-42d
E (eV/cell): -304.5

Cell: 10.8734 10.8734 10.8734 Å, 101.61 101.61 126.70°
Positions (direct):
Pd 0.5464 0.9653 0.8763
Pd 0.0347 0.9110 0.5810
Pd 0.7153 0.7964 0.3763
Pd 0.3299 0.4536 0.4190
Pd 0.2036 0.5799 0.9190
Pd 0.4201 0.3390 0.6237
Pd 0.0890 0.6701 0.1237
Pd 0.6610 0.2847 0.0810
C 0.9766 0.7029 0.4819
C 0.1316 0.8554 0.0872
C 0.5290 0.5471 0.7738
C 0.7734 0.7552 0.2262
C 0.6184 0.2056 0.2238
C 0.6054 0.3816 0.5872
C 0.4529 0.2266 0.9819
C 0.2210 0.4948 0.5181
C 0.2971 0.7790 0.2738
C 0.9818 0.3946 0.7762
C 0.5052 0.0234 0.7262
C 0.1446 0.2318 0.2762
C 0.2448 0.4710 0.0181
C 0.7682 0.0444 0.9128
C 0.9556 0.8684 0.7238
C 0.7944 0.0182 0.4128
Cl 0.5756 0.7623 0.5366
Cl 0.5123 0.8256 0.0366
Cl 0.2258 0.0390 0.4634
Cl 0.2377 0.7742 0.8133
Cl 0.1744 0.2110 0.6867
Cl 0.7890 0.4758 0.9634
Cl 0.9610 0.4244 0.1867
Cl 0.5242 0.4877 0.3133
O 0.2421 0.3796 0.0583
O 0.6204 0.6787 0.8625
O 0.8373 0.1411 0.4051
O 0.8589 0.2640 0.6962
O 0.0140 0.1089 0.1962
O 0.5678 0.1627 0.3038
O 0.9338 0.5713 0.4417
O 0.7360 0.4322 0.5949
O 0.9127 0.8178 0.8038
O 0.4287 0.8704 0.3625
O 0.8911 0.0873 0.9051
O 0.5079 0.0662 0.6375
O 0.3213 0.1838 0.9417
O 0.8162 0.7579 0.1375
O 0.1822 0.9860 0.0949
O 0.1296 0.4921 0.5583